No. 1
# LiCoCuO4 (PBEsol, optimized geometry)
# energy relative to the elements, uncorrected	-23.198	kcal/mol of atoms
# E above lowest polymorph	38	meV per atom
# space group	P-1
# crystal system	triclinic
data_LiCoCuO4
_cell_length_a 5.479
_cell_length_b 5.514
_cell_length_c 5.783
_cell_angle_alpha 117.86
_cell_angle_beta 116.43
_cell_angle_gamma 90.03
_space_group_name_H-M_alt 'P 1'
_space_group_IT_number 1
_space_group_name_Hall 'P 1'
loop_
_atom_site_label
_atom_site_fract_x
_atom_site_fract_y
_atom_site_fract_z
_atom_site_occupancy
Li1 0.000 0.000 0.000 1
Li2 0.500 0.000 0.500 1
Co1 0.000 0.000 0.500 1
Co2 0.000 0.500 0.500 1
Cu1 0.000 0.500 0.000 1
Cu2 0.500 0.500 0.000 1
O1 0.202 0.225 0.456 1
O2 0.214 0.236 0.922 1
O3 0.217 0.688 0.927 1
O4 0.219 0.749 0.494 1
O5 0.781 0.251 0.506 1
O6 0.783 0.312 0.073 1
O7 0.786 0.764 0.078 1
O8 0.798 0.775 0.544 1

No. 2
# Ca3Se (PBEsol, optimized geometry)
# energy relative to the elements, uncorrected	-14.546	kcal/mol of atoms
# E above lowest polymorph	227	meV per atom
# space group	I4/mmm
# crystal system	tetragonal
data_Ca3Se
_cell_length_a 12.953
_cell_length_b 12.953
_cell_length_c 12.953
_cell_angle_alpha 159.68
_cell_angle_beta 159.68
_cell_angle_gamma 28.90
_space_group_name_H-M_alt 'P 1'
_space_group_IT_number 1
_space_group_name_Hall 'P 1'
loop_
_atom_site_label
_atom_site_fract_x
_atom_site_fract_y
_atom_site_fract_z
_atom_site_occupancy
Ca1 0.000 0.500 0.500 1
Ca2 0.121 0.121 0.000 1
Ca3 0.250 0.750 0.500 1
Ca4 0.500 0.000 0.500 1
Ca5 0.750 0.250 0.500 1
Ca6 0.879 0.879 0.000 1
Se1 0.421 0.421 0.000 1
Se2 0.579 0.579 0.000 1

No. 3
# Cs3TeN (PBEsol, optimized geometry)
# energy relative to the elements, uncorrected	-1.935	kcal/mol of atoms
# space group	Pm-3m
# crystal system	cubic
data_Cs3TeN
_cell_length_a 5.815
_cell_length_b 5.815
_cell_length_c 5.815
_cell_angle_alpha 90.00
_cell_angle_beta 90.00
_cell_angle_gamma 90.00
_space_group_name_H-M_alt 'P 1'
_space_group_IT_number 1
_space_group_name_Hall 'P 1'
loop_
_atom_site_label
_atom_site_fract_x
_atom_site_fract_y
_atom_site_fract_z
_atom_site_occupancy
Cs1 0.000 0.000 0.500 1
Cs2 0.000 0.500 0.000 1
Cs3 0.500 0.000 0.000 1
Te1 0.500 0.500 0.500 1
N1 0.000 0.000 0.000 1

No. 4
# Ho3GaS6 (PBEsol, optimized geometry)
# energy relative to the elements, uncorrected	-40.896	kcal/mol of atoms
# space group	Cmc2_1
# crystal system	orthorhombic
data_Ho3GaS6
_cell_length_a 8.364
_cell_length_b 8.364
_cell_length_c 6.355
_cell_angle_alpha 90.00
_cell_angle_beta 90.00
_cell_angle_gamma 102.33
_space_group_name_H-M_alt 'P 1'
_space_group_IT_number 1
_space_group_name_Hall 'P 1'
loop_
_atom_site_label
_atom_site_fract_x
_atom_site_fract_y
_atom_site_fract_z
_atom_site_occupancy
Ho1 0.097 0.903 0.500 1
Ho2 0.218 0.414 0.595 1
Ho3 0.414 0.218 0.095 1
Ho4 0.586 0.782 0.595 1
Ho5 0.782 0.586 0.095 1
Ho6 0.903 0.097 0.000 1
Ga1 0.298 0.702 0.129 1
Ga2 0.702 0.298 0.629 1
S1 0.065 0.599 0.312 1
S2 0.130 0.195 0.296 1
S3 0.195 0.130 0.796 1
S4 0.281 0.719 0.775 1
S5 0.401 0.935 0.312 1
S6 0.461 0.539 0.278 1
S7 0.539 0.461 0.778 1
S8 0.599 0.065 0.812 1
S9 0.719 0.281 0.275 1
S10 0.805 0.870 0.296 1
S11 0.870 0.805 0.796 1
S12 0.935 0.401 0.812 1

No. 5
# PrMn7O12 (PBEsol, optimized geometry)
# energy relative to the elements, uncorrected	-42.599	kcal/mol of atoms
# space group	Im-3
# crystal system	cubic
data_PrMn7O12
_cell_length_a 6.397
_cell_length_b 6.397
_cell_length_c 6.397
_cell_angle_alpha 109.47
_cell_angle_beta 109.47
_cell_angle_gamma 109.47
_space_group_name_H-M_alt 'P 1'
_space_group_IT_number 1
_space_group_name_Hall 'P 1'
loop_
_atom_site_label
_atom_site_fract_x
_atom_site_fract_y
_atom_site_fract_z
_atom_site_occupancy
Pr1 0.000 0.000 0.000 1
Mn1 0.000 0.000 0.500 1
Mn2 0.000 0.500 0.000 1
Mn3 0.000 0.500 0.500 1
Mn4 0.500 0.000 0.000 1
Mn5 0.500 0.000 0.500 1
Mn6 0.500 0.500 0.000 1
Mn7 0.500 0.500 0.500 1
O1 0.131 0.307 0.824 1
O2 0.176 0.483 0.307 1
O3 0.176 0.869 0.693 1
O4 0.307 0.176 0.483 1
O5 0.307 0.824 0.131 1
O6 0.483 0.307 0.176 1
O7 0.517 0.693 0.824 1
O8 0.693 0.176 0.869 1
O9 0.693 0.824 0.517 1
O10 0.824 0.131 0.307 1
O11 0.824 0.517 0.693 1
O12 0.869 0.693 0.176 1

No. 6
# CdCu (PBEsol, optimized geometry)
# energy of formation from the pure elements	0.09	eV per formula unit
# space group	C2/m
# crystal system	monoclinic
data_CdCu
_cell_length_a 5.051
_cell_length_b 5.051
_cell_length_c 4.577
_cell_angle_alpha 108.64
_cell_angle_beta 108.64
_cell_angle_gamma 34.13
_space_group_name_H-M_alt 'P 1'
_space_group_IT_number 1
_space_group_name_Hall 'P 1'
loop_
_atom_site_label
_atom_site_fract_x
_atom_site_fract_y
_atom_site_fract_z
_atom_site_occupancy
Cd1 0.109 0.109 0.330 1
Cd2 0.891 0.891 0.670 1
Cu1 0.354 0.354 0.142 1
Cu2 0.646 0.646 0.858 1

No. 7
# Al21Pt8 (PBEsol, optimized geometry)
# energy of formation from the pure elements	-22.23	eV per formula unit
# space group	I4_1/a
# crystal system	tetragonal
data_Al21Pt8
_cell_length_a 10.592
_cell_length_b 10.592
_cell_length_c 10.592
_cell_angle_alpha 104.63
_cell_angle_beta 104.63
_cell_angle_gamma 119.66
_space_group_name_H-M_alt 'P 1'
_space_group_IT_number 1
_space_group_name_Hall 'P 1'
loop_
_atom_site_label
_atom_site_fract_x
_atom_site_fract_y
_atom_site_fract_z
_atom_site_occupancy
Al1 0.015 0.928 0.590 1
Al2 0.064 0.671 0.286 1
Al3 0.075 0.485 0.413 1
Al4 0.076 0.804 0.086 1
Al5 0.115 0.222 0.786 1
Al6 0.141 0.882 0.822 1
Al7 0.161 0.575 0.090 1
Al8 0.171 0.385 0.607 1
Al9 0.176 0.135 0.022 1
Al10 0.181 0.359 0.241 1
Al11 0.218 0.990 0.414 1
Al12 0.278 0.564 0.893 1
Al13 0.304 0.718 0.728 1
Al14 0.346 0.324 0.459 1
Al15 0.365 0.887 0.041 1
Al16 0.375 0.125 0.250 1
Al17 0.382 0.060 0.741 1
Al18 0.387 0.846 0.522 1
Al19 0.428 0.339 0.913 1
Al20 0.440 0.681 0.322 1
Al21 0.490 0.576 0.772 1
Al22 0.510 0.424 0.228 1
Al23 0.560 0.319 0.678 1
Al24 0.572 0.661 0.087 1
Al25 0.613 0.154 0.478 1
Al26 0.618 0.940 0.259 1
Al27 0.625 0.875 0.750 1
Al28 0.635 0.113 0.959 1
Al29 0.654 0.676 0.541 1
Al30 0.696 0.282 0.272 1
Al31 0.722 0.436 0.107 1
Al32 0.782 0.010 0.586 1
Al33 0.819 0.641 0.759 1
Al34 0.824 0.865 0.978 1
Al35 0.829 0.615 0.393 1
Al36 0.839 0.425 0.910 1
Al37 0.859 0.118 0.178 1
Al38 0.885 0.778 0.214 1
Al39 0.924 0.196 0.914 1
Al40 0.925 0.515 0.587 1
Al41 0.936 0.329 0.714 1
Al42 0.985 0.072 0.410 1
Pt1 0.070 0.632 0.866 1
Pt2 0.090 0.063 0.214 1
Pt3 0.132 0.766 0.562 1
Pt4 0.266 0.204 0.634 1
Pt5 0.296 0.430 0.062 1
Pt6 0.350 0.877 0.286 1
Pt7 0.377 0.590 0.527 1
Pt8 0.437 0.150 0.027 1
Pt9 0.563 0.850 0.973 1
Pt10 0.623 0.410 0.473 1
Pt11 0.650 0.123 0.714 1
Pt12 0.704 0.570 0.938 1
Pt13 0.734 0.796 0.366 1
Pt14 0.868 0.234 0.438 1
Pt15 0.910 0.937 0.786 1
Pt16 0.930 0.368 0.134 1

No. 8
# Mn3PW (PBEsol, optimized geometry)
# energy of formation from the pure elements	2.68	eV per formula unit
# space group	Pm-3m
# crystal system	cubic
data_Mn3PW
_cell_length_a 4.001
_cell_length_b 4.001
_cell_length_c 4.001
_cell_angle_alpha 90.00
_cell_angle_beta 90.00
_cell_angle_gamma 90.00
_space_group_name_H-M_alt 'P 1'
_space_group_IT_number 1
_space_group_name_Hall 'P 1'
loop_
_atom_site_label
_atom_site_fract_x
_atom_site_fract_y
_atom_site_fract_z
_atom_site_occupancy
Mn1 0.000 0.000 0.500 1
Mn2 0.000 0.500 0.000 1
Mn3 0.500 0.000 0.000 1
P1 0.000 0.000 0.000 1
W1 0.500 0.500 0.500 1

No. 9
# BaCa2Ir2 (PBEsol, optimized geometry)
# energy of formation from the pure elements	-0.26	eV per formula unit
# space group	I4/mmm
# crystal system	tetragonal
data_BaCa2Ir2
_cell_length_a 6.844
_cell_length_b 6.844
_cell_length_c 6.844
_cell_angle_alpha 140.23
_cell_angle_beta 140.23
_cell_angle_gamma 57.50
_space_group_name_H-M_alt 'P 1'
_space_group_IT_number 1
_space_group_name_Hall 'P 1'
loop_
_atom_site_label
_atom_site_fract_x
_atom_site_fract_y
_atom_site_fract_z
_atom_site_occupancy
Ba1 0.000 0.000 0.000 1
Ca1 0.250 0.750 0.500 1
Ca2 0.750 0.250 0.500 1
Ir1 0.397 0.397 0.000 1
Ir2 0.603 0.603 0.000 1

No. 10
# Al2GaTc2 (PBEsol, optimized geometry)
# energy of formation from the pure elements	-1.26	eV per formula unit
# space group	P4/mbm
# crystal system	tetragonal
data_Al2GaTc2
_cell_length_a 6.558
_cell_length_b 6.558
_cell_length_c 3.462
_cell_angle_alpha 90.00
_cell_angle_beta 90.00
_cell_angle_gamma 90.00
_space_group_name_H-M_alt 'P 1'
_space_group_IT_number 1
_space_group_name_Hall 'P 1'
loop_
_atom_site_label
_atom_site_fract_x
_atom_site_fract_y
_atom_site_fract_z
_atom_site_occupancy
Al1 0.145 0.355 0.000 1
Al2 0.355 0.855 0.000 1
Al3 0.645 0.145 0.000 1
Al4 0.855 0.645 0.000 1
Ga1 0.000 0.000 0.500 1
Ga2 0.500 0.500 0.500 1
Tc1 0.154 0.654 0.500 1
Tc2 0.346 0.154 0.500 1
Tc3 0.654 0.846 0.500 1
Tc4 0.846 0.346 0.500 1

No. 11
# HfPdAu2S (PBEsol, optimized geometry)
# energy relative to the elements, uncorrected	13.232	kcal/mol of atoms
# space group	P4/mmm
# crystal system	tetragonal
data_HfPdAu2S
_cell_length_a 5.115
_cell_length_b 5.115
_cell_length_c 4.657
_cell_angle_alpha 90.00
_cell_angle_beta 90.00
_cell_angle_gamma 90.00
_space_group_name_H-M_alt 'P 1'
_space_group_IT_number 1
_space_group_name_Hall 'P 1'
loop_
_atom_site_label
_atom_site_fract_x
_atom_site_fract_y
_atom_site_fract_z
_atom_site_occupancy
Hf1 0.000 0.000 0.000 1
Pd1 0.500 0.500 0.500 1
Au1 0.000 0.500 0.000 1
Au2 0.500 0.000 0.000 1
S1 0.000 0.000 0.500 1

No. 12
# Ba3HfRu (PBEsol, optimized geometry)
# energy of formation from the pure elements	8.59	eV per formula unit
# space group	Pm-3m
# crystal system	cubic
data_Ba3HfRu
_cell_length_a 5.959
_cell_length_b 5.959
_cell_length_c 5.959
_cell_angle_alpha 90.00
_cell_angle_beta 90.00
_cell_angle_gamma 90.00
_space_group_name_H-M_alt 'P 1'
_space_group_IT_number 1
_space_group_name_Hall 'P 1'
loop_
_atom_site_label
_atom_site_fract_x
_atom_site_fract_y
_atom_site_fract_z
_atom_site_occupancy
Ba1 0.000 0.000 0.500 1
Ba2 0.000 0.500 0.000 1
Ba3 0.500 0.000 0.000 1
Hf1 0.000 0.000 0.000 1
Ru1 0.500 0.500 0.500 1